Record 1
This record from Alexandria via LeMat-Bulk describes a relaxed Ho12Er5In2 crystal. The functional is PBE-GGA. Values from VASP.

Results
ρ: 8.71 g/cm3
energy of formation from the pure elements: -2 meV/atom
symmetry: C2/m, No. 12
N(E_F): 1.475 states/eV per atom

```
&SYSTEM
  ibrav = 0, nat = 19, ntyp = 3
/
ATOMIC_SPECIES
Ho 164.93 Ho.upf
Er 167.26 Er.upf
In 114.82 In.upf
ATOMIC_POSITIONS crystal
Ho 0.053 0.053 0.325
Ho 0.072 0.679 0.340
Ho 0.164 0.535 0.762
Ho 0.321 0.928 0.660
Ho 0.414 0.414 0.113
Ho 0.465 0.836 0.238
Ho 0.535 0.164 0.762
Ho 0.586 0.586 0.887
Ho 0.679 0.072 0.340
Ho 0.836 0.465 0.238
Ho 0.928 0.321 0.660
Ho 0.947 0.947 0.675
Er 0.189 0.189 0.005
Er 0.265 0.265 0.419
Er 0.500 0.500 0.500
Er 0.735 0.735 0.581
Er 0.811 0.811 0.995
In 0.182 0.818 0.000
In 0.818 0.182 0.000
CELL_PARAMETERS angstrom
7.647 -4.598 0.000
7.647 4.598 0.000
-0.211 0.000 8.259
```

Record 2
This record from Alexandria via LeMat-Bulk describes a relaxed DyEr2Sc8 crystal. The functional is PBE-GGA. Values from VASP.

Results
ρ: 4.79 g/cm3
energy of formation from the pure elements: 134 meV/atom
symmetry: C2/m, No. 12
N(E_F): 1.529 states/eV per atom

```
&SYSTEM
  ibrav = 0, nat = 11, ntyp = 3
/
ATOMIC_SPECIES
Dy 162.50 Dy.upf
Er 167.26 Er.upf
Sc 44.96 Sc.upf
ATOMIC_POSITIONS crystal
Dy 0.000 0.000 0.000
Er 0.310 0.690 0.500
Er 0.690 0.310 0.500
Sc 0.097 0.355 0.725
Sc 0.202 0.798 0.000
Sc 0.355 0.097 0.725
Sc 0.499 0.499 0.257
Sc 0.501 0.501 0.743
Sc 0.645 0.903 0.275
Sc 0.798 0.202 0.000
Sc 0.903 0.645 0.275
CELL_PARAMETERS angstrom
4.347 -8.016 0.000
4.347 8.016 0.000
-3.444 0.000 4.257
```

Record 3
This record from Alexandria via LeMat-Bulk describes a relaxed HgH6I2N2 crystal. The functional is PBE-GGA. Values from VASP.

Results
ρ: 3.24 g/cm3
total energy: -43.00 eV for the cell shown
symmetry: C2/m, No. 12
N(E_F): 0.000 states/eV per atom

```
&SYSTEM
  ibrav = 0, nat = 11, ntyp = 4
/
ATOMIC_SPECIES
Hg 200.59 Hg.upf
H 1.01 H.upf
I 126.90 I.upf
N 14.01 N.upf
ATOMIC_POSITIONS crystal
Hg 0.000 0.000 0.000
H 0.175 0.175 0.769
H 0.176 0.419 0.772
H 0.419 0.176 0.772
H 0.581 0.824 0.228
H 0.824 0.581 0.228
H 0.825 0.825 0.231
I 0.424 0.424 0.272
I 0.576 0.576 0.728
N 0.276 0.276 0.827
N 0.724 0.724 0.173
CELL_PARAMETERS angstrom
5.912 -3.416 0.000
5.912 3.416 0.000
-4.100 0.000 6.194
```